1.
SiI2N2 | PBE | optimized geometry

The calculation puts the energy relative to the elements, uncorrected at 1.97 eV/atom. The total magnetic moment comes out at 1.6 Bohr magnetons per cell. Its calculated volume is 136 Å³/f.u.

The space group is P4/mmm (No. 123) and the conventional cell measures 4.107, 4.107 and 8.083 Å, with angles of 90.00, 90.00 and 90.00 degrees. The inequivalent atoms are Si at (0.000, 0.000, 0.000), I at (0.500, 0.500, 0.000), I at (0.500, 0.500, 0.500) and N at (0.000, 0.500, 0.500).

---

2.
SiSnI2N | PBE | optimized geometry

The calculation puts the energy relative to the elements, uncorrected at 0.93 eV/atom. The total magnetic moment comes out at 0.5 Bohr magnetons per cell. Its calculated volume is 145 Å³/f.u.

The space group is P4/mmm (No. 123) and the conventional cell measures 6.114, 6.114 and 3.871 Å, with angles of 90.00, 90.00 and 90.00 degrees. The inequivalent atoms are Si at (0.000, 0.000, 0.000), Sn at (0.500, 0.500, 0.500), I at (0.000, 0.500, 0.500) and N at (0.500, 0.500, 0.000).

---

3.
SiSnIN2 | PBE | optimized geometry

The calculation puts the energy relative to the elements, uncorrected at 1.53 eV/atom. The total magnetic moment comes out at 0.9 Bohr magnetons per cell. Its calculated volume is 108 Å³/f.u.

The space group is P4/mmm (No. 123) and the conventional cell measures 4.149, 4.149 and 6.268 Å, with angles of 90.00, 90.00 and 90.00 degrees. The inequivalent atoms are Si at (0.000, 0.000, 0.000), Sn at (0.500, 0.500, 0.500), I at (0.500, 0.500, 0.000) and N at (0.000, 0.500, 0.500).

---

What did the second record say?
SiSnI2N | PBE | optimized geometry

The calculation puts the energy relative to the elements, uncorrected at 0.93 eV/atom. The total magnetic moment comes out at 0.5 Bohr magnetons per cell. Its calculated volume is 145 Å³/f.u.

The space group is P4/mmm (No. 123) and the conventional cell measures 6.114, 6.114 and 3.871 Å, with angles of 90.00, 90.00 and 90.00 degrees. The inequivalent atoms are Si at (0.000, 0.000, 0.000), Sn at (0.500, 0.500, 0.500), I at (0.000, 0.500, 0.500) and N at (0.500, 0.500, 0.000).

---

Question: energy relative to the elements, uncorrected of number 3 (SiSnIN2)?
Answer: 1.53 eV/atom